# 1
A relaxed AcAl4Zn crystal, computed with PBE.

Cell: 5.708 5.708 5.708 Å, 60.00 60.00 60.00°
Fractional positions:
1 Ac 0.250 0.250 0.250
2 Zn 0.000 0.000 0.000
3 Al 0.625 0.625 0.125
4 Al 0.625 0.125 0.625
5 Al 0.625 0.625 0.625
6 Al 0.125 0.625 0.625

Values from the calculation:
- Symmetry: F-43m (216)
- DFT formation energy: -0.055 eV per atom
- DOS(E_F): 0.416 states/eV/atom



# 2
A relaxed AcAlZn2 crystal, computed with PBE.

Cell: 4.834 5.951 6.910 Å, 90.00 90.00 113.96°
Fractional positions:
1 Ac 0.768 0.536 0.500
2 Ac 0.566 0.133 0.000
3 Al 0.283 0.566 0.809
4 Al 0.283 0.566 0.191
5 Zn 0.049 0.098 0.686
6 Zn 0.049 0.098 0.314
7 Zn 0.867 0.735 0.000
8 Zn 0.463 0.926 0.500

Values from the calculation:
- Symmetry: Amm2 (38)
- DFT formation energy: -0.282 eV per atom
- DOS(E_F): 0.246 states/eV/atom